This record from Alexandria describes crystalline AcHoZn2Sn2 at its relaxed geometry. The functional is PBE-GGA.

Lattice parameters (Å, degrees): 4.5633 4.5633 8.5838 90.00 90.00 120.00
Fractional positions:
Ac (0.0000, 0.0000, 0.0000)
Ho (0.0000, 0.0000, 0.5000)
Zn (0.6667, 0.3333, 0.3101)
Zn (0.3333, 0.6667, 0.6899)
Sn (0.6667, 0.3333, 0.7384)
Sn (0.3333, 0.6667, 0.2616)

Output
M_tot in μB per formula unit: 0.0
Energy in eV/atom: -3.739
Mass density in g/cm3: 8.15
V in Å³/f.u.: 154.8